(1)
Compound: Y2AlAs
Source: the Alexandria database
Functional: PBE-GGA
Structure: optimized geometry

Summary:
Formation energy from the elements: -0.542 eV per atom
SG: No. 225
Total magnetization: 0.0 μB/f.u.
Excess energy over the best structure of this formula in the dataset: 1.355 eV/f.u.

abc: 5.1220 5.1220 5.1220
angles: 60.00 60.00 60.00
With the nearest neighbours (Å) after each atom.
Element x y z (fractional)
Y 0.7500 0.7500 0.7500  4 As 3.14, 4 Al 3.14
Y 0.2500 0.2500 0.2500  4 As 3.14, 4 Al 3.14
As 0.5000 0.5000 0.5000  8 Y 3.14
Al 0.0000 0.0000 0.0000  8 Y 3.14

(2)
Compound: Ti2CdO
Source: the Alexandria database
Functional: PBE-GGA
Structure: optimized geometry

Summary:
Raw formation energy: -1.2316 eV/atom
SG: No. 160
Total magnetization: 0.0 μB/f.u.
Excess energy over the best structure of this formula in the dataset: 0.088 eV/f.u.

abc: 3.0623 3.0623 7.3625
angles: 78.00 78.00 60.00
With the nearest neighbours (Å) after each atom.
Element x y z (fractional)
Ti 0.2797 0.2797 0.1608  3 O 2.11
Ti 0.0536 0.0536 0.8392  3 O 2.10
O 0.6671 0.6671 0.9986  6 Ti 2.10-2.11
Cd 0.4995 0.4995 0.5015  6 Ti 2.99-3.01, 6 Cd 3.06

(3)
Compound: YV2NiTe
Source: the Alexandria database
Functional: PBE-GGA
Structure: optimized geometry

Summary:
Raw formation energy: 1.8934 eV/atom
SG: No. 123
Total magnetization: 4.4 μB/f.u.

abc: 4.8037 5.4545 4.8037
angles: 90.00 90.00 90.00
With the nearest neighbours (Å) after each atom.
Element x y z (fractional)
V 0.0000 0.0000 0.5000  2 Y 2.40
V 0.5000 0.0000 0.0000  2 Y 2.40
Ni 0.5000 0.5000 0.5000  4 Te 3.40, 8 V 3.63
Te 0.0000 0.5000 0.0000  2 Y 2.73
Y 0.0000 0.0000 0.0000  4 V 2.40

(4)
Compound: InTc4Te
Source: the Alexandria database
Functional: PBE-GGA
Structure: optimized geometry

Summary:
Raw formation energy: 0.5032 eV/atom
SG: No. 216
Total magnetization: 0.0 μB/f.u.

abc: 5.3070 5.3070 5.3070
angles: 60.00 60.00 60.00
With the nearest neighbours (Å) after each atom.
Element x y z (fractional)
Tc 0.3757 0.3757 0.8729  6 Tc 2.64-2.67
Tc 0.3757 0.3757 0.3757  6 Tc 2.64-2.67
Tc 0.3757 0.8729 0.3757  6 Tc 2.64-2.67
Tc 0.8729 0.3757 0.3757  6 Tc 2.64-2.67
Te 0.7500 0.7500 0.7500  12 Tc 3.11, 4 In 3.25
In 0.0000 0.0000 0.0000  12 Tc 3.11, 4 Te 3.25

(5)
Compound: Er12Be3O5
Source: the Alexandria database
Functional: PBE-GGA
Structure: optimized geometry

Summary:
Raw formation energy: -1.3791 eV/atom
SG: No. 230
Total magnetization: 0.0 μB/f.u.

abc: 12.8954 12.8954 12.8954
angles: 109.47 109.47 109.47
With the nearest neighbours (Å) after each atom.
Element x y z (fractional)
Er 0.1853 0.0945 0.9785  1 O 2.17
Er 0.5908 0.7068 0.6853  1 O 2.17
Er 0.5215 0.3147 0.9055  1 O 2.17
Er 0.5945 0.9785 0.6853  1 O 2.17
Er 0.8839 0.5908 0.9055  1 O 2.17
Er 0.8839 0.2932 0.4785  1 O 2.17
Er 0.5908 0.8839 0.4055  1 O 2.17
Er 0.4055 0.0215 0.3147  1 O 2.17
Er 0.8147 0.9055 0.0215  1 O 2.17
Er 0.2068 0.6853 0.0908  1 O 2.17
Er 0.4785 0.7932 0.8839  1 O 2.17
Er 0.1161 0.7068 0.5215  1 O 2.17
Er 0.6853 0.2068 0.5908  1 O 2.17
Er 0.0908 0.1853 0.2068  1 O 2.17
Er 0.2932 0.4092 0.8147  1 O 2.17
Er 0.3147 0.5215 0.4055  1 O 2.17
Er 0.2068 0.5215 0.6161  1 O 2.17
Er 0.9092 0.0945 0.6161  1 O 2.17
Er 0.1161 0.4092 0.0945  1 O 2.17
Er 0.7068 0.5908 0.1853  1 O 2.17
Er 0.2932 0.8839 0.9785  1 O 2.17
Er 0.8147 0.9092 0.2932  1 O 2.17
Er 0.0215 0.4055 0.8147  1 O 2.17
Er 0.9055 0.0908 0.8839  1 O 2.17
Er 0.0908 0.9055 0.3839  1 O 2.17
Er 0.4785 0.6853 0.0945  1 O 2.17
Er 0.7068 0.1161 0.0215  1 O 2.17
Er 0.7932 0.4785 0.3839  1 O 2.17
Er 0.4092 0.2932 0.3147  1 O 2.17
Er 0.0945 0.9092 0.1161  1 O 2.17
Er 0.1853 0.0908 0.7068  1 O 2.17
Er 0.5945 0.6161 0.4092  1 O 2.17
Er 0.0215 0.6161 0.7068  1 O 2.17
Er 0.3839 0.9785 0.7932  1 O 2.17
Er 0.6161 0.0215 0.2068  1 O 2.17
Er 0.4092 0.1161 0.5945  1 O 2.17
Er 0.9055 0.8147 0.5215  1 O 2.17
Er 0.6853 0.4785 0.5945  1 O 2.17
Er 0.3839 0.4055 0.0908  1 O 2.17
Er 0.7932 0.3147 0.9092  1 O 2.17
Er 0.9785 0.5945 0.1853  1 O 2.17
Er 0.6161 0.5945 0.9092  1 O 2.17
Er 0.9785 0.3839 0.2932  1 O 2.17
Er 0.0945 0.1853 0.4785  1 O 2.17
Er 0.5215 0.2068 0.1161  1 O 2.17
Er 0.4055 0.3839 0.5908  1 O 2.17
Er 0.9092 0.8147 0.7932  1 O 2.17
Er 0.3147 0.7932 0.4092  1 O 2.17
O 0.0000 0.5000 0.5000  6 Er 2.45
O 0.8750 0.2500 0.6250  4 Er 2.17
O 0.0000 0.0000 0.0000  6 Er 2.45
O 0.3750 0.1250 0.7500  4 Er 2.17
O 0.1250 0.3750 0.2500  4 Er 2.17
O 0.1250 0.7500 0.3750  4 Er 2.17
O 0.7500 0.1250 0.8750  4 Er 2.17
O 0.7500 0.6250 0.3750  4 Er 2.17
O 0.0000 0.0000 0.5000  6 Er 2.45
O 0.0000 0.5000 0.0000  6 Er 2.45
O 0.6250 0.8750 0.2500  4 Er 2.17
O 0.5000 0.5000 0.0000  6 Er 2.45
O 0.5000 0.0000 0.0000  6 Er 2.45
O 0.6250 0.7500 0.8750  4 Er 2.17
O 0.5000 0.5000 0.5000  6 Er 2.45
O 0.2500 0.8750 0.1250  4 Er 2.17
O 0.5000 0.0000 0.5000  6 Er 2.45
O 0.3750 0.2500 0.1250  4 Er 2.17
O 0.2500 0.3750 0.6250  4 Er 2.17
O 0.8750 0.6250 0.7500  4 Er 2.17
Be 0.3750 0.7500 0.6250  8 Er 2.92-2.96
Be 0.7500 0.8750 0.6250  8 Er 2.92-2.96
Be 0.1250 0.8750 0.7500  8 Er 2.92-2.96
Be 0.6250 0.3750 0.7500  8 Er 2.92-2.96
Be 0.7500 0.3750 0.1250  8 Er 2.92-2.96
Be 0.2500 0.6250 0.8750  8 Er 2.92-2.96
Be 0.1250 0.2500 0.8750  8 Er 2.92-2.96
Be 0.3750 0.6250 0.2500  8 Er 2.92-2.96
Be 0.8750 0.1250 0.2500  8 Er 2.92-2.96
Be 0.6250 0.2500 0.3750  8 Er 2.92-2.96
Be 0.8750 0.7500 0.1250  8 Er 2.92-2.96
Be 0.2500 0.1250 0.3750  8 Er 2.92-2.96

(6)
Compound: CsRb2HfI6
Source: the Alexandria database
Functional: PBE-GGA
Structure: optimized geometry

Summary:
Raw formation energy: -1.1098 eV/atom
SG: No. 225
Total magnetization: 1.0 μB/f.u.

abc: 9.1598 9.1598 9.1598
angles: 60.00 60.00 90.00
With the nearest neighbours (Å) after each atom.
Element x y z (fractional)
Cs 0.5000 0.5000 0.0000  6 I 3.59
I 0.7772 0.2228 0.0000  1 Hf 2.89
I 0.2228 0.2228 0.0000  1 Hf 2.89
I 0.2228 0.7772 0.0000  1 Hf 2.89
I 0.7772 0.7772 0.0000  1 Hf 2.89
I 0.7772 0.7772 0.4455  1 Hf 2.89
I 0.2228 0.2228 0.5545  1 Hf 2.89
Hf 0.0000 0.0000 0.0000  6 I 2.89
Rb 0.7500 0.2500 0.5000  12 I 4.59
Rb 0.2500 0.7500 0.5000  12 I 4.59

What is the total magnetization in the fourth record? 0.0 μB/f.u.